## SiTc (PBE-GGA)

Data for SiTc after structural relaxation.

Distance to the lowest polymorph of the same formula, eV/atom: 0.471
Magnetization, μB per formula unit: 0.002
ΔE_f (raw), eV per atom: -0.051

a b c (Å): 6.102 5.784 4.899
angles (deg): 69.10 62.31 48.59
Sites, in units of the cell vectors:
Si 0.063 0.687 0.687
Si 0.313 0.937 0.937
Si 0.687 0.063 0.063
Si 0.937 0.313 0.313
Tc 0.171 0.579 0.171
Tc 0.421 0.829 0.421
Tc 0.579 0.171 0.579
Tc 0.829 0.421 0.829



## SiTc (PBE-GGA)

Data for SiTc after structural relaxation.

Distance to the lowest polymorph of the same formula, eV/atom: 0.601
Magnetization, μB per formula unit: 0.000
ΔE_f (raw), eV per atom: 0.080

a b c (Å): 4.294 4.294 4.294
angles (deg): 60.00 60.00 60.00
Sites, in units of the cell vectors:
Si 0.125 0.125 0.125
Si 0.875 0.875 0.875
Tc 0.375 0.375 0.375
Tc 0.625 0.625 0.625



## SiTc5 (PBE-GGA)

Data for SiTc5 after structural relaxation.

Distance to the lowest polymorph of the same formula, eV/atom: 0.000
Magnetization, μB per formula unit: 0.000
ΔE_f (raw), eV per atom: -0.156

a b c (Å): 4.990 4.990 6.559
angles (deg): 109.86 109.86 33.63
Sites, in units of the cell vectors:
Si 0.000 0.000 0.000
Tc 0.000 0.000 0.500
Tc 0.327 0.327 0.683
Tc 0.351 0.351 0.151
Tc 0.649 0.649 0.849
Tc 0.673 0.673 0.317



## Si4Tc (PBE-GGA)

Data for Si4Tc after structural relaxation.

Distance to the lowest polymorph of the same formula, eV/atom: 0.459
Magnetization, μB per formula unit: 1.595
ΔE_f (raw), eV per atom: 0.755

a b c (Å): 4.652 4.652 4.652
angles (deg): 90.00 90.00 90.00
Sites, in units of the cell vectors:
Si 0.000 0.000 0.000
Si 0.000 0.500 0.500
Si 0.500 0.000 0.500
Si 0.500 0.500 0.000
Tc 0.500 0.500 0.500